The following is a PBE calculation of a relaxed InCo15 crystal, from OQMD.

Geometry as POSCAR:
```
InCo15
1.0
4.9770 0.0000 0.0000
0.0000 2.5276 0.0000
-0.0101 0.0000 40.6466
In Co
2 30
Cartesian
0.0000 0.0000 0.0000 In
1.2375 1.2638 27.3118 In
4.9758 0.0000 4.2014 Co
-0.0018 0.0000 7.6240 Co
4.9737 0.0000 11.0868 Co
4.9733 0.0000 14.5332 Co
4.9719 0.0000 17.9851 Co
-0.0009 0.0000 21.4404 Co
-0.0008 0.0000 24.9030 Co
1.2192 1.2638 2.4405 Co
1.2406 1.2638 9.3594 Co
1.2418 1.2638 12.8105 Co
1.2402 1.2638 16.2585 Co
1.2396 1.2638 19.7149 Co
1.2387 1.2638 23.1597 Co
1.2471 1.2638 5.9039 Co
2.4791 0.0000 21.4406 Co
2.4778 0.0000 24.9032 Co
2.4883 0.0000 0.8301 Co
2.4874 0.0000 4.1257 Co
2.4865 0.0000 7.6412 Co
2.4864 0.0000 11.0796 Co
2.4851 0.0000 14.5349 Co
2.4848 0.0000 17.9848 Co
3.7267 1.2638 5.9038 Co
3.7318 1.2638 9.3582 Co
3.7291 1.2638 12.8103 Co
3.7288 1.2638 16.2630 Co
3.7278 1.2638 19.7077 Co
3.7272 1.2638 23.2043 Co
3.7263 1.2638 26.5392 Co
3.7560 1.2638 2.4403 Co
```

Calculated values
**Crystal system**: monoclinic
**Symmetry**: Pm
**Uncorrected energy**: -6.71 eV per atom